VASP calculation (GGA-PBEsol) on an optimized crystal structure of Zr2PSe.

Summary:
- Magnetic moment: 0.0 μB per formula unit
- Energy relative to the elements, uncorrected: -1.399 eV/atom
- Density of states at the Fermi level: 0.452 states/eV per atom
- Theoretical density: 6.3 g cm⁻³
- V: 76.59 Å³/f.u.

a = 3.7403 Å, b = 3.7403 Å, c = 18.9648 Å
α = 90.00°, β = 90.00°, γ = 120.00°
Space group R-3m (No. 166, hexagonal axes)
Symmetry-distinct sites (fractional):
Zr 0.0000 0.0000 0.2363 [6 per cell]
P 0.0000 0.0000 0.5000 [3 per cell]
Se 0.0000 0.0000 0.0000 [3 per cell]

VASP calculation (GGA-PBEsol) on an optimized crystal structure of ZnH3CNO3.

Summary:
- Magnetic moment: 0.0 μB per formula unit
- Density of states at the Fermi level: 0.000 states/eV per atom
- Theoretical density: 2.5 g cm⁻³
- V: 94.16 Å³/f.u.
- Energy: -0.44582 Ry/atom

a = 9.500 Å, b = 7.455 Å, c = 5.318 Å
α = 90.00°, β = 90.00°, γ = 90.00°
Space group Pna2_1 (No. 33)
Symmetry-distinct sites (fractional):
Zn 0.150 0.174 0.000 [4 per cell]
H 0.036 0.647 0.688 [4 per cell]
H 0.059 0.265 0.426 [4 per cell]
H 0.110 0.456 0.290 [4 per cell]
C 0.116 0.845 0.259 [4 per cell]
N 0.065 0.333 0.255 [4 per cell]
O 0.017 0.124 0.726 [4 per cell]
O 0.155 0.706 0.389 [4 per cell]
O 0.210 0.946 0.161 [4 per cell]

VASP calculation (GGA-PBEsol) on an optimized crystal structure of Sb2P5O16.

Summary:
- Magnetic moment: 0.8 μB per formula unit
- Energy relative to the elements, uncorrected: -1.917 eV/atom
- Density of states at the Fermi level: 0.159 states/eV per atom
- Theoretical density: 2.8 g cm⁻³
- V: 386.02 Å³/f.u.

a = 7.545 Å, b = 10.359 Å, c = 10.576 Å
α = 90.00°, β = 110.94°, γ = 90.00°
Space group Pc (No. 7)
Symmetry-distinct sites (fractional):
Sb 0.000 0.128 0.000 [2 per cell]
Sb 0.546 0.361 0.607 [2 per cell]
P 0.325 0.343 0.011 [2 per cell]
P 0.375 0.197 0.256 [2 per cell]
P 0.413 0.042 0.635 [2 per cell]
P 0.670 0.381 0.952 [2 per cell]
P 0.801 0.087 0.661 [2 per cell]
O 0.141 0.273 0.930 [2 per cell]
O 0.158 0.193 0.199 [2 per cell]
O 0.246 0.012 0.018 [2 per cell]
O 0.306 0.478 0.054 [2 per cell]
O 0.409 0.178 0.680 [2 per cell]
O 0.444 0.257 0.142 [2 per cell]
O 0.452 0.051 0.264 [2 per cell]
O 0.454 0.332 0.923 [2 per cell]
O 0.467 0.259 0.389 [2 per cell]
O 0.595 0.019 0.592 [2 per cell]
O 0.671 0.421 0.813 [2 per cell]
O 0.710 0.492 0.053 [2 per cell]
O 0.783 0.233 0.650 [2 per cell]
O 0.794 0.262 0.013 [2 per cell]
O 0.876 0.039 0.809 [2 per cell]
O 0.916 0.036 0.579 [2 per cell]

VASP calculation (GGA-PBEsol) on an optimized crystal structure of ScRhO3.

Summary:
- Magnetic moment: 0.0 μB per formula unit
- Energy relative to the elements, uncorrected: -2.164 eV/atom
- Theoretical density: 6.3 g cm⁻³
- V: 51.43 Å³/f.u.

a = 7.430 Å, b = 7.403 Å, c = 10.204 Å
α = 90.00°, β = 132.87°, γ = 90.00°
Space group P2_1/c (No. 14)
Symmetry-distinct sites (fractional):
Sc 0.067 0.238 0.292 [4 per cell]
Sc 0.429 0.740 0.725 [4 per cell]
Rh 0.000 0.000 0.000 [2 per cell]
Rh 0.000 0.000 0.500 [2 per cell]
Rh 0.500 0.000 0.000 [2 per cell]
Rh 0.500 0.000 0.500 [2 per cell]
O 0.072 0.748 0.963 [4 per cell]
O 0.149 0.543 0.755 [4 per cell]
O 0.214 0.598 0.254 [4 per cell]
O 0.292 0.100 0.546 [4 per cell]
O 0.347 0.036 0.107 [4 per cell]
O 0.427 0.250 0.391 [4 per cell]

VASP calculation (GGA-PBEsol) on an optimized crystal structure of Tl2CrW.

Summary:
- Energy of formation: 1.038 eV per atom
- Magnetic moment: 2.7 μB per formula unit
- Density of states at the Fermi level: 0.848 states/eV per atom
- Theoretical density: 14.6 g cm⁻³
- V: 73.44 Å³/f.u.

a = 4.213 Å, b = 4.213 Å, c = 4.138 Å
α = 90.00°, β = 90.00°, γ = 90.00°
Space group P4/mmm (No. 123)
Symmetry-distinct sites (fractional):
Tl 0.000 0.500 0.000 [2 per cell]
Cr 0.000 0.000 0.500 [1 per cell]
W 0.500 0.500 0.500 [1 per cell]

VASP calculation (GGA-PBEsol) on an optimized crystal structure of MgCdPb2.

Summary:
- Energy of formation: -0.007 eV per atom
- Magnetic moment: 0.0 μB per formula unit
- Density of states at the Fermi level: 0.402 states/eV per atom
- Theoretical density: 8.9 g cm⁻³
- V: 102.87 Å³/f.u.

a = 6.714 Å, b = 8.918 Å, c = 3.436 Å
α = 90.00°, β = 90.00°, γ = 90.00°
Space group Cmmm (No. 65)
Symmetry-distinct sites (fractional):
Mg 0.000 0.000 0.000 [2 per cell]
Cd 0.000 0.500 0.000 [2 per cell]
Pb 0.250 0.250 0.500 [4 per cell]

VASP calculation (GGA-PBEsol) on an optimized crystal structure of NaZr2CdHg.

Summary:
- Energy of formation: 0.997 eV per atom
- Magnetic moment: 0.0 μB per formula unit
- Density of states at the Fermi level: 1.221 states/eV per atom
- Theoretical density: 5.9 g cm⁻³
- V: 145.04 Å³/f.u.

a = 5.304 Å, b = 5.304 Å, c = 5.155 Å
α = 90.00°, β = 90.00°, γ = 90.00°
Space group P4/mmm (No. 123)
Symmetry-distinct sites (fractional):
Na 0.000 0.000 0.000 [1 per cell]
Zr 0.000 0.500 0.500 [2 per cell]
Cd 0.500 0.500 0.500 [1 per cell]
Hg 0.500 0.500 0.000 [1 per cell]

VASP calculation (GGA-PBEsol) on an optimized crystal structure of LaZn2Re.

Summary:
- Energy of formation: 0.498 eV per atom
- Magnetic moment: 0.0 μB per formula unit
- Density of states at the Fermi level: 0.840 states/eV per atom
- Theoretical density: 10.3 g cm⁻³
- V: 73.26 Å³/f.u.

a = 6.642 Å, b = 6.642 Å, c = 6.642 Å
α = 90.00°, β = 90.00°, γ = 90.00°
Space group F-43m (No. 216)
Symmetry-distinct sites (fractional):
La 0.000 0.000 0.000 [4 per cell]
Zn 0.000 0.000 0.500 [4 per cell]
Zn 0.250 0.250 0.750 [4 per cell]
Re 0.250 0.250 0.250 [4 per cell]

VASP calculation (GGA-PBEsol) on an optimized crystal structure of Li4MgCd.

Summary:
- Energy of formation: -0.051 eV per atom
- Magnetic moment: 0.0 μB per formula unit
- Density of states at the Fermi level: 0.421 states/eV per atom
- Theoretical density: 2.5 g cm⁻³
- V: 107.18 Å³/f.u.

a = 7.540 Å, b = 7.540 Å, c = 7.540 Å
α = 90.00°, β = 90.00°, γ = 90.00°
Space group F-43m (No. 216)
Symmetry-distinct sites (fractional):
Li 0.124 0.124 0.124 [16 per cell]
Mg 0.000 0.000 0.500 [4 per cell]
Cd 0.250 0.250 0.750 [4 per cell]

VASP calculation (GGA-PBEsol) on an optimized crystal structure of Ti5Te4.

Summary:
- Magnetic moment: 0.0 μB per formula unit
- Energy relative to the elements, uncorrected: -0.739 eV/atom
- Density of states at the Fermi level: 0.766 states/eV per atom
- Theoretical density: 6.7 g cm⁻³
- V: 185.49 Å³/f.u.

a = 10.075 Å, b = 10.075 Å, c = 3.655 Å
α = 90.00°, β = 90.00°, γ = 90.00°
Space group I4/m (No. 87)
Symmetry-distinct sites (fractional):
Ti 0.000 0.000 0.000 [2 per cell]
Ti 0.125 0.187 0.500 [8 per cell]
Te 0.056 0.719 0.000 [8 per cell]

VASP calculation (GGA-PBEsol) on an optimized crystal structure of Ni2PtRh.

Summary:
- Energy of formation: -0.004 eV per atom
- Magnetic moment: 2.1 μB per formula unit
- Density of states at the Fermi level: 1.681 states/eV per atom
- Theoretical density: 13.8 g cm⁻³
- V: 49.93 Å³/f.u.

a = 8.679 Å, b = 2.645 Å, c = 4.435 Å
α = 90.00°, β = 101.28°, γ = 90.00°
Space group Cm (No. 8)
Symmetry-distinct sites (fractional):
Ni 0.000 0.000 0.000 [2 per cell]
Ni 0.243 0.500 0.250 [2 per cell]
Pt 0.494 0.000 0.492 [2 per cell]
Rh 0.251 0.000 0.766 [2 per cell]

VASP calculation (GGA-PBEsol) on an optimized crystal structure of NaTc2Te2.

Summary:
- Magnetic moment: 0.0 μB per formula unit
- Energy relative to the elements, uncorrected: 0.016 eV/atom
- Density of states at the Fermi level: 0.842 states/eV per atom
- Theoretical density: 6.7 g cm⁻³
- V: 117.23 Å³/f.u.

a = 4.125 Å, b = 4.125 Å, c = 13.782 Å
α = 90.00°, β = 90.00°, γ = 90.00°
Space group I4/mmm (No. 139)
Symmetry-distinct sites (fractional):
Na 0.000 0.000 0.000 [2 per cell]
Tc 0.000 0.500 0.250 [4 per cell]
Te 0.000 0.000 0.365 [4 per cell]